Record 1
DFT (PBE-GGA) results for NaSrTe2I after structural relaxation.

abc: 5.481 5.481 6.208
angles: 90.00 90.00 90.00
Sites, in units of the cell vectors:
Te 0.500 0.000 0.000
Te 0.000 0.500 0.000
Na 0.000 0.000 0.000
Sr 0.500 0.500 0.500
I 0.000 0.000 0.500

**Size of the total moment**: 0.0 μB/f.u.
**VASP energy**: -2.7301 eV/atom
**Polymorph energy (0 for the lowest one)**: 0.000 eV per atom
**ΔE_f (raw)**: -563 meV/atom
**Theoretical density**: 4.39 g cm⁻³
**Density of states at the Fermi level**: 2.63 states/eV/f.u.

Record 2
DFT (PBE-GGA) results for NaSrTe2I after structural relaxation.

abc: 6.295 6.295 6.440
angles: 90.00 90.00 90.00
Site moments in Bohr magnetons follow the coordinates.
Sites, in units of the cell vectors:
Te 0.500 0.000 0.000  0.34
Te 0.000 0.500 0.000  0.34
Sr 0.000 0.000 0.000  0.00
Na 0.500 0.500 0.500  0.00
I 0.000 0.000 0.500  0.09

**Size of the total moment**: 1.5 μB/f.u.
**VASP energy**: -2.7196 eV/atom
**Polymorph energy (0 for the lowest one)**: 0.010 eV per atom
**ΔE_f (raw)**: -553 meV/atom
**Theoretical density**: 3.21 g cm⁻³
**Density of states at the Fermi level**: 6.42 states/eV/f.u.

Record 3
DFT (PBE-GGA) results for Na2SrThI8 after structural relaxation.

abc: 7.877 7.469 9.599
angles: 90.00 90.00 94.30
Sites, in units of the cell vectors:
I 0.846 0.228 0.230
I 0.154 0.771 0.230
I 0.324 0.258 0.000
Na 0.500 0.500 0.263
Sr 0.000 0.000 0.500
Na 0.500 0.500 0.737
I 0.341 0.261 0.500
I 0.154 0.772 0.770
Th 0.000 0.000 0.000
I 0.659 0.739 0.500
I 0.846 0.229 0.770
I 0.676 0.742 0.000

**Size of the total moment**: 0.0 μB/f.u.
**VASP energy**: -3.3337 eV/atom
**ΔE_f (raw)**: -1322 meV/atom
**Theoretical density**: 4.07 g cm⁻³
**Density of states at the Fermi level**: 0.00 states/eV/f.u.

Record 4
DFT (PBE-GGA) results for Na3SrTl3I8 after structural relaxation.

abc: 9.493 9.491 9.821
angles: 118.91 90.00 120.01
Sites, in units of the cell vectors:
Sr 0.000 0.000 0.500
I 0.741 0.482 0.723
Na 0.500 0.000 0.500
I 0.259 0.518 0.277
I 0.758 0.516 0.275
I 0.741 0.983 0.725
Na 0.500 0.500 0.500
I 0.242 0.983 0.725
I 0.259 0.017 0.275
Tl 0.500 0.500 0.000
I 0.758 0.017 0.275
Tl 0.000 0.000 0.000
I 0.242 0.484 0.725
Tl 0.000 0.500 0.000
Na 0.000 0.500 0.500

**Size of the total moment**: 0.0 μB/f.u.
**VASP energy**: -2.7827 eV/atom
**ΔE_f (raw)**: -1107 meV/atom
**Theoretical density**: 4.66 g cm⁻³
**Density of states at the Fermi level**: 0.00 states/eV/f.u.